[1]
VASP calculation (GGA-PBE) on an optimized crystal structure of TbTmGa2Pd4.

Unit cell a=4.389 b=4.389 c=9.023 alpha=90.00 beta=90.00 gamma=120.00
Atoms (fractional coordinates):
Pd: 0.000 0.000 0.329
Pd: 0.000 0.000 0.671
Pd: 0.333 0.667 0.165
Pd: 0.333 0.667 0.835
Tm: 0.000 0.000 0.000
Ga: 0.667 0.333 0.249
Ga: 0.667 0.333 0.751
Tb: 0.333 0.667 0.500

[2]
VASP calculation (GGA-PBE) on an optimized crystal structure of Ga2TcPd.

Unit cell a=4.408 b=4.408 c=4.408 alpha=60.00 beta=60.00 gamma=60.00
Atoms (fractional coordinates):
Ga: 0.750 0.750 0.750
Ga: 0.500 0.500 0.500
Pd: 0.250 0.250 0.250
Tc: 0.000 0.000 0.000

no.,total energy (eV for the cell shown)
1,-43.1
2,-21.4